Entry from Alexandria via LeMat-Bulk: a relaxed structure of NpZnCo2 (GGA-PBE).

- calculated volume (Å³/cell) = 55.36
- crystal system = tetragonal
- ΔE_f (eV/atom) = 0.06
- density (Mg/m³) = 12.606

abc: 2.9252 2.9252 6.4700
angles: 90.00 90.00 90.00
Last column: nearest neighbours and their distance in Å.
Element x y z (fractional)
Co  0.0000  0.0000  0.2307  4 Zn 2.55, 4 Np 2.70
Co  0.0000  0.0000  0.7693  4 Zn 2.55, 4 Np 2.70
Zn  0.5000  0.5000  0.0000  8 Co 2.55
Np  0.5000  0.5000  0.5000  8 Co 2.70, 4 Np 2.93

=====

Entry from Alexandria via LeMat-Bulk: a relaxed structure of NpZn3Co6 (GGA-PBE).

- calculated volume (Å³/cell) = 134.20
- crystal system = trigonal
- ΔE_f (eV/atom) = 0.13
- density (Mg/m³) = 9.736

abc: 4.8943 4.8943 6.4688
angles: 90.00 90.00 120.00
Last column: nearest neighbours and their distance in Å.
Element x y z (fractional)
Co  0.0000  0.5446  0.1803  5 Co 2.37-2.48, 2 Zn 2.51, 1 Np 2.52
Zn  0.6667  0.3333  0.5000  6 Co 2.51
Zn  0.0000  0.0000  0.5000  6 Zn 2.83, 6 Co 3.04
Co  0.4554  0.4554  0.1803  5 Co 2.37-2.48, 2 Zn 2.51, 1 Np 2.52
Np  0.0000  0.0000  0.0000  6 Co 2.52
Co  0.0000  0.4554  0.8197  5 Co 2.37-2.48, 2 Zn 2.51, 1 Np 2.52
Co  0.5446  0.5446  0.8197  5 Co 2.37-2.48, 2 Zn 2.51, 1 Np 2.52
Co  0.5446  0.0000  0.1803  5 Co 2.37-2.48, 2 Zn 2.51, 1 Np 2.52
Co  0.4554  0.0000  0.8197  5 Co 2.37-2.48, 2 Zn 2.51, 1 Np 2.52
Zn  0.3333  0.6667  0.5000  6 Co 2.51

=====

Entry from Alexandria via LeMat-Bulk: a relaxed structure of NpZn4Co (GGA-PBE).

- calculated volume (Å³/cell) = 97.38
- crystal system = cubic
- ΔE_f (eV/atom) = 0.16
- density (Mg/m³) = 9.507

abc: 5.1642 5.1642 5.1642
angles: 60.00 60.00 60.00
Last column: nearest neighbours and their distance in Å.
Element x y z (fractional)
Co  0.0000  0.0000  0.0000  12 Zn 3.02, 4 Np 3.16
Zn  0.1207  0.6264  0.6264  6 Zn 2.55-2.61
Zn  0.6264  0.6264  0.6264  6 Zn 2.55-2.61
Zn  0.6264  0.1207  0.6264  6 Zn 2.55-2.61
Zn  0.6264  0.6264  0.1207  6 Zn 2.55-2.61
Np  0.2500  0.2500  0.2500  12 Zn 3.03, 4 Co 3.16

=====

Entry from Alexandria via LeMat-Bulk: a relaxed structure of ZrNpCo4 (GGA-PBE).

- calculated volume (Å³/cell) = 84.55
- crystal system = cubic
- ΔE_f (eV/atom) = -0.15
- density (Mg/m³) = 11.075

abc: 4.9266 4.9266 4.9266
angles: 60.00 60.00 60.00
Last column: nearest neighbours and their distance in Å.
Element x y z (fractional)
Co  0.6249  0.6249  0.6249  6 Co 2.46
Co  0.1252  0.6249  0.6249  6 Co 2.46
Np  0.0000  0.0000  0.0000  12 Co 2.89, 4 Zr 3.02
Co  0.6249  0.6249  0.1252  6 Co 2.46
Zr  0.2500  0.2500  0.2500  12 Co 2.89, 4 Np 3.02
Co  0.6249  0.1252  0.6249  6 Co 2.46